First-principles (PBE) data for crystalline SbAs2I at its relaxed geometry, as listed in Alexandria.

a = 5.1581 Å, b = 5.1581 Å, c = 5.1581 Å
α = 60.00°, β = 60.00°, γ = 60.00°
Closest atoms and distances in Å follow each position.
Fractional coordinates of all 4 atoms:
I 0.5000 0.5000 0.5000  8 As 3.16
Sb 0.0000 0.0000 0.0000  8 As 3.16
As 0.2500 0.2500 0.2500  4 Sb 3.16, 4 I 3.16
As 0.7500 0.7500 0.7500  4 Sb 3.16, 4 I 3.16

Results
SG: Fm-3m (225)
DOS(E_F): 2.80 states/eV per cell
formation energy from raw total energies: 544 meV/atom
energy above the lowest structure with this stoichiometry: 0.181 eV/atom